Density functional theory data (PBE) for a geometry-optimized AsPbSe2 structure.

- V: 25.78 Å³/atom
- Crystal system: tetragonal
- Calculated total energy: -3.85 eV/atom
- Calculated density: 7.09 Mg/m³
- Size of the total moment: 0.00 μB/cell
- Formation energy (no corrections): -1.7 kJ per mole of atoms

extended XYZ file:
```
4
Lattice="-2.911 2.911 3.041 2.911 -2.911 3.041 2.911 2.911 -3.041" Properties=species:S:1:pos:R:3 pbc="T T T"
As 0.000 0.000 0.000
Pb 0.000 0.000 3.041
Se 2.911 0.000 0.000
Se 0.000 2.911 0.000
```

Density functional theory data (PBE) for a geometry-optimized K2CdCuAs2 structure.

- V: 25.93 Å³/atom
- Crystal system: orthorhombic
- Calculated total energy: -3.05 eV/atom
- Calculated density: 4.31 Mg/m³
- Calculated formation energy: -1.78 eV per formula unit
- Size of the total moment: 0.00 μB/cell

extended XYZ file:
```
12
Lattice="-3.081 8.125 3.108 3.081 -8.125 3.108 3.081 8.125 -3.108" Properties=species:S:1:pos:R:3 pbc="T T T"
K 1.466 2.814 0.000
K 1.466 -2.814 3.108
K 1.615 10.939 0.000
K 1.615 5.311 3.108
Cd 0.000 0.000 1.554
Cd 0.000 0.000 4.662
Cu 3.081 0.000 1.554
Cu 0.000 8.125 1.554
As 4.422 1.537 0.000
As 1.340 6.588 0.000
As 1.741 1.537 3.108
As -1.340 6.588 3.108
```

Density functional theory data (PBE) for a geometry-optimized Tl2RuO structure.

- V: 18.49 Å³/atom
- Crystal system: cubic
- Calculated total energy: -4.07 eV/atom
- Calculated density: 11.81 Mg/m³
- Size of the total moment: 2.07 μB/cell
- Formation energy (no corrections): 64.6 kJ per mole of atoms

extended XYZ file:
```
4
Lattice="0.000 3.332 3.332 3.332 0.000 3.332 3.332 3.332 0.000" Properties=species:S:1:pos:R:3 pbc="T T T"
Tl 1.666 1.666 1.666
Tl 4.998 4.998 4.998
Ru 0.000 0.000 0.000
O 3.332 3.332 3.332
```

Density functional theory data (PBE) for a geometry-optimized CeZnTc structure.

- V: 20.03 Å³/atom
- Crystal system: hexagonal
- Calculated total energy: -5.80 eV/atom
- Calculated density: 8.39 Mg/m³
- Calculated formation energy: 0.17 eV per formula unit
- Size of the total moment: 0.00 μB/cell

extended XYZ file:
```
3
Lattice="4.435 0.000 0.000 -2.217 3.841 0.000 0.000 0.000 3.528" Properties=species:S:1:pos:R:3 pbc="T T T"
Ce 0.000 0.000 0.000
Zn 0.000 2.560 1.764
Tc 2.217 1.280 1.764
```

Density functional theory data (PBE) for a geometry-optimized MgRe2S structure.

- V: 14.27 Å³/atom
- Crystal system: cubic
- Calculated total energy: -6.80 eV/atom
- Calculated density: 12.48 Mg/m³
- Size of the total moment: 0.00 μB/cell
- Formation energy (no corrections): 82.4 kJ per mole of atoms

extended XYZ file:
```
4
Lattice="0.000 3.056 3.056 3.056 0.000 3.056 3.056 3.056 0.000" Properties=species:S:1:pos:R:3 pbc="T T T"
Mg 0.000 0.000 0.000
Re 1.528 1.528 1.528
Re 4.584 4.584 4.584
S 3.056 3.056 3.056
```

Density functional theory data (PBE) for a geometry-optimized P2Pb2I structure.

- V: 28.99 Å³/atom
- Crystal system: tetragonal
- Calculated total energy: -3.94 eV/atom
- Calculated density: 6.91 Mg/m³
- Size of the total moment: 0.00 μB/cell
- Formation energy (no corrections): 2.1 kJ per mole of atoms

extended XYZ file:
```
5
Lattice="-2.059 2.059 8.550 2.059 -2.059 8.550 2.059 2.059 -8.550" Properties=species:S:1:pos:R:3 pbc="T T T"
P 2.059 0.000 4.275
P 0.000 2.059 4.275
Pb 0.000 0.000 2.208
Pb 0.000 0.000 14.892
I 0.000 0.000 8.550
```

Density functional theory data (PBE) for a geometry-optimized Li2Zn2Ge structure.

- V: 17.04 Å³/atom
- Crystal system: tetragonal
- Calculated total energy: -2.13 eV/atom
- Calculated density: 4.24 Mg/m³
- Calculated formation energy: 0.36 eV per formula unit
- Size of the total moment: 0.00 μB/cell

extended XYZ file:
```
5
Lattice="-1.802 1.802 6.559 1.802 -1.802 6.559 1.802 1.802 -6.559" Properties=species:S:1:pos:R:3 pbc="T T T"
Li 1.802 0.000 3.280
Li 0.000 1.802 3.280
Zn 0.000 0.000 1.311
Zn 0.000 0.000 11.807
Ge 0.000 0.000 6.559
```

Density functional theory data (PBE) for a geometry-optimized SbTe2As structure.

- V: 31.40 Å³/atom
- Crystal system: monoclinic
- Calculated total energy: -3.70 eV/atom
- Calculated density: 5.97 Mg/m³
- Size of the total moment: 0.00 μB/cell
- Formation energy (no corrections): 6.6 kJ per mole of atoms

extended XYZ file:
```
4
Lattice="4.940 0.000 0.000 0.000 4.322 0.000 -1.965 0.000 5.882" Properties=species:S:1:pos:R:3 pbc="T T T"
Sb 0.000 0.000 0.000
Te 0.963 2.161 4.683
Te 3.431 0.000 2.366
As 1.716 2.161 1.088
```

Density functional theory data (PBE) for a geometry-optimized LaTeAuF2 structure.

- V: 25.56 Å³/atom
- Crystal system: tetragonal
- Calculated total energy: -5.23 eV/atom
- Calculated density: 6.52 Mg/m³
- Size of the total moment: 0.00 μB/cell
- Formation energy (no corrections): -213.4 kJ per mole of atoms

extended XYZ file:
```
5
Lattice="4.446 0.000 0.000 0.000 4.446 0.000 0.000 0.000 6.465" Properties=species:S:1:pos:R:3 pbc="T T T"
La 0.000 0.000 0.000
Te 2.223 2.223 3.233
Au 0.000 0.000 3.233
F 0.000 2.223 0.000
F 2.223 0.000 0.000
```

Density functional theory data (PBE) for a geometry-optimized TaB3Ru structure.

- V: 13.84 Å³/atom
- Crystal system: cubic
- Calculated total energy: -6.46 eV/atom
- Calculated density: 7.55 Mg/m³
- Calculated formation energy: 8.88 eV per formula unit
- Size of the total moment: 0.00 μB/cell

extended XYZ file:
```
5
Lattice="4.105 0.000 0.000 0.000 4.105 0.000 0.000 0.000 4.105" Properties=species:S:1:pos:R:3 pbc="T T T"
Ta 0.000 0.000 0.000
B 0.000 0.000 2.053
B 0.000 2.053 0.000
B 2.053 0.000 0.000
Ru 2.053 2.053 2.053
```

Density functional theory data (PBE) for a geometry-optimized LaNdGe structure.

- V: 29.57 Å³/atom
- Crystal system: trigonal
- Calculated total energy: -5.20 eV/atom
- Calculated density: 6.66 Mg/m³
- Calculated formation energy: -1.28 eV per formula unit
- Size of the total moment: 0.00 μB/cell

extended XYZ file:
```
3
Lattice="4.841 0.000 0.000 -2.420 4.192 0.000 0.000 0.000 4.372" Properties=species:S:1:pos:R:3 pbc="T T T"
La 0.000 0.000 0.000
Nd 2.420 1.397 2.410
Ge 0.000 2.795 1.518
```

Density functional theory data (PBE) for a geometry-optimized Cs2HgBi3Pb4 structure.

- V: 40.65 Å³/atom
- Crystal system: tetragonal
- Calculated total energy: -3.02 eV/atom
- Calculated density: 7.85 Mg/m³
- Calculated formation energy: -1.73 eV per formula unit
- Size of the total moment: 0.00 μB/cell

extended XYZ file:
```
10
Lattice="5.585 0.000 0.000 0.000 5.585 0.000 0.000 0.000 13.033" Properties=species:S:1:pos:R:3 pbc="T T T"
Cs 0.000 2.792 3.143
Cs 2.792 0.000 9.889
Hg 2.792 2.792 0.000
Bi 0.000 0.000 0.000
Bi 0.000 2.792 8.276
Bi 2.792 0.000 4.757
Pb 0.000 0.000 6.516
Pb 0.000 2.792 11.491
Pb 2.792 0.000 1.541
Pb 2.792 2.792 6.516
```

Density functional theory data (PBE) for a geometry-optimized VHSe2 structure.

- V: 16.27 Å³/atom
- Crystal system: monoclinic
- Calculated total energy: -5.40 eV/atom
- Calculated density: 5.35 Mg/m³
- Size of the total moment: 0.00 μB/cell

extended XYZ file:
```
4
Lattice="2.825 -1.631 0.000 2.825 1.631 0.000 -1.845 0.000 7.062" Properties=species:S:1:pos:R:3 pbc="T T T"
V 0.000 0.000 0.000
H 3.767 0.000 0.002
Se 0.039 0.000 5.369
Se 1.884 0.000 1.694
```